#P
La2CuNiN | PBE-GGA | relaxed

The calculation puts the density of states at the Fermi level at 4.99 states/eV/cell. For the total moment, the calculation gives 0.001 μB per atom.

Lattice parameters (Å, degrees): 5.1720 5.1720 3.7004 90.00 90.00 90.00
Last column: nearest neighbours and their distance in Å.
Atoms (fractional coordinates):
La 0.0000 0.5000 0.0000  2 N 2.59
La 0.5000 0.0000 0.0000  2 N 2.59
Cu 0.0000 0.0000 0.5000  8 La 3.18
Ni 0.5000 0.5000 0.5000  2 N 1.85
N 0.5000 0.5000 0.0000  2 Ni 1.85

#Q
La2CuNiN | PBE-GGA | relaxed

The calculation puts the density of states at the Fermi level at 2.64 states/eV/cell. For the total moment, the calculation gives 0.000 μB per atom.

Lattice parameters (Å, degrees): 5.1064 5.1064 3.7847 90.00 90.00 90.00
Last column: nearest neighbours and their distance in Å.
Atoms (fractional coordinates):
La 0.0000 0.5000 0.0000  2 N 2.55
La 0.5000 0.0000 0.0000  2 N 2.55
Cu 0.0000 0.0000 0.5000  2 N 1.89
Ni 0.5000 0.5000 0.5000  8 La 3.18
N 0.0000 0.0000 0.0000  2 Cu 1.89

Order from most stable to least stable according to the calculation: #P, #Q